Below is PrAl8Co2 after structural relaxation, with properties calculated at the PBE level.

Total magnetic moment: 0.0 μB/f.u.
Uncorrected energy: -4.915 eV per atom
Calculated volume: 720 Å³ per cell
Crystal system: orthorhombic

The structure in extended XYZ format:
```
44
Lattice="12.4880 0.0000 0.0000 0.0000 14.3898 0.0000 0.0000 0.0000 4.0078" Properties=species:S:1:pos:R:3 pbc="T T T"
Pr 1.9946 2.6127 0.0000
Pr 4.2494 9.8076 0.0000
Pr 8.2386 4.5822 0.0000
Pr 10.4934 11.7771 0.0000
Al 0.0000 0.0000 0.0000
Al 0.0000 7.1949 2.0039
Al 0.3262 12.4929 2.0039
Al 0.5865 4.6184 2.0039
Al 1.1998 10.7546 0.0000
Al 1.9855 8.9258 2.0039
Al 1.9927 6.5564 0.0000
Al 2.1100 0.1169 2.0039
Al 2.9497 11.9157 2.0039
Al 3.2943 4.7208 2.0039
Al 4.1340 7.3118 2.0039
Al 4.2513 13.7513 0.0000
Al 4.2585 1.7309 2.0039
Al 5.0442 3.5596 0.0000
Al 5.6575 11.8133 2.0039
Al 5.9178 5.2980 2.0039
Al 6.2440 0.0000 2.0039
Al 6.2440 7.1949 0.0000
Al 6.5702 9.0918 2.0039
Al 6.8305 2.5765 2.0039
Al 7.4438 10.8302 0.0000
Al 8.2295 12.6589 2.0039
Al 8.2367 0.6385 0.0000
Al 8.3540 7.0780 2.0039
Al 9.1937 9.6690 2.0039
Al 9.5384 2.4741 2.0039
Al 10.3780 14.2729 2.0039
Al 10.4953 7.8335 0.0000
Al 10.5025 5.4640 2.0039
Al 11.2882 3.6353 0.0000
Al 11.9015 9.7714 2.0039
Al 12.1618 1.8969 2.0039
Co 0.4315 8.5540 0.0000
Co 1.8990 13.0075 0.0000
Co 4.3450 5.8126 0.0000
Co 5.8125 1.3591 0.0000
Co 6.6755 13.0307 0.0000
Co 8.1430 8.5772 0.0000
Co 10.5890 1.3823 0.0000
Co 12.0565 5.8358 0.0000
```